First-principles (GGA-PBE) data for a relaxed SnBi3O crystal, as listed in the Alexandria database.

N(E_F) (states/eV per cell): 12.8
Raw formation energy (eV per formula unit): 5.97

Cell lengths 5.779, 5.779, 5.779 Å; angles 90.00, 90.00, 90.00 degrees
Fractional positions:
Bi (0.000, 0.500, 0.000)
Bi (0.000, 0.000, 0.500)
Bi (0.500, 0.000, 0.000)
O (0.500, 0.500, 0.500)
Sn (0.000, 0.000, 0.000)